# 1
# ZrGaNi2

A relaxed structure of ZrGaNi2 (PBE, OQMD via LeMat-Bulk).

As for the total magnetization: 0.00 μB/atom. As for the energy: -5.999 eV per atom. The space group is F-43m.

Unit cell a=4.341 b=4.341 c=4.341 alpha=60.00 beta=60.00 gamma=60.00
Element x y z (fractional)
1 Ga 0.500 0.500 0.500
2 Ni 0.000 0.000 0.000
3 Ni 0.750 0.750 0.750
4 Zr 0.250 0.250 0.250


# 2
# ZrGaNi6

A relaxed structure of ZrGaNi6 (PBE, OQMD via LeMat-Bulk).

As for the total magnetization: 0.00 μB/atom. As for the energy: -5.932 eV per atom. The space group is P-6m2.

Unit cell a=5.239 b=5.239 c=4.172 alpha=90.00 beta=90.00 gamma=120.00
Element x y z (fractional)
1 Ga 0.000 0.000 0.500
2 Ni 0.168 0.337 0.000
3 Ni 0.663 0.832 0.000
4 Ni 0.168 0.832 0.000
5 Ni 0.020 0.510 0.500
6 Ni 0.490 0.510 0.500
7 Ni 0.490 0.980 0.500
8 Zr 0.667 0.333 0.000